(1)
Co2TeOs: relaxed, PBE-GGA.

Structure (POSCAR):
```
Co2TeOs
1.0
4.9726 -0.0249 -0.0262
2.0658 4.5233 0.0262
-3.0591 -2.9692 2.5601
Co Os Te
2 1 1
Cartesian
3.4159 2.1832 0.0000
0.1033 0.0660 0.0000
2.7164 -0.3724 1.2670
1.2630 1.9016 1.2932
```

## Properties
Its symmetry is Immm. For the final energy, the calculation gives -0.478 Ry/atom. The value obtained for the formation energy from raw total energies is 0.64 eV per atom.

=====

(2)
AlMoP3: relaxed, PBE-GGA.

Structure (POSCAR):
```
AlMoP3
1.0
-3.0984 1.0105 3.1085
-2.5155 -3.4721 -1.3787
2.0871 -2.6847 2.9531
Al P Mo
1 3 1
Cartesian
0.0000 0.0000 0.0000
-1.5492 0.5052 1.5543
1.0436 -1.3424 1.4765
-1.2578 -1.7361 -0.6893
-1.7634 -2.5732 2.3414
```

## Properties
The energy above the most stable polymorph in this dataset comes out at 0.673 eV/atom. Its symmetry is Pm-3m. The calculated formation energy comes out at 115.56 kJ per mole of atoms. For the final energy, the calculation gives -0.365 Ry/atom.

=====

(3)
NaY2Pb2: relaxed, PBE-GGA.

Structure (POSCAR):
```
NaY2Pb2
1.0
-5.6291 0.4966 7.4022
-1.9913 -9.0520 -0.9070
2.6992 -0.8049 2.1067
Na Y Pb
2 4 4
Cartesian
0.0000 0.0000 0.0000
-3.8102 -4.2777 3.2476
-3.8108 -7.6865 1.9459
-1.4707 -3.2791 0.6315
-6.1498 -5.2762 5.8636
-3.8097 -0.8689 4.5492
-0.8505 -1.7670 3.3509
-3.9880 -2.9867 6.9049
-4.0708 -7.5932 5.2509
-0.9333 -6.3735 1.6969
```

## Properties
The energy above the most stable polymorph in this dataset comes out at 0.029 eV/atom. Its symmetry is P4/mbm. The calculated formation energy comes out at -31.04 kJ per mole of atoms. For the final energy, the calculation gives -0.342 Ry/atom.

=====

(4)
LiPr2Al3Au4: relaxed, PBE-GGA.

Structure (POSCAR):
```
LiPr2Al3Au4
1.0
-2.4704 -1.0330 -3.6012
3.1465 -2.9135 -1.3227
-4.6693 -7.4695 5.3457
Au Al Pr Li
4 3 2 1
Cartesian
0.3380 -1.9733 -2.4620
0.0000 0.0000 0.0000
-4.1535 -5.1849 1.5405
-0.1777 -4.2579 1.3433
0.9603 -2.4372 0.0403
-5.2916 -7.0056 2.8435
-2.3346 -3.7348 2.6729
-2.3856 -2.3567 -0.4836
-1.9457 -7.0861 3.3674
-1.9966 -5.7080 0.2109
```

## Properties
Its symmetry is P-4m2. The calculated formation energy comes out at -66.94 kJ per mole of atoms. For the final energy, the calculation gives -0.314 Ry/atom.

=====

(5)
DyHo2ReO8: relaxed, PBE-GGA.

Structure (POSCAR):
```
DyHo2ReO8
1.0
5.0292 -0.0393 -0.0030
-0.0145 5.0297 -0.0056
0.0041 0.0074 6.7286
O Ho Re Dy
8 2 1 1
Cartesian
1.3533 1.3471 6.7263
3.4730 3.4584 3.3583
1.5458 1.5394 3.3617
0.9066 4.1113 5.3279
4.1122 0.8866 1.3921
4.1146 0.8909 5.3296
0.9042 4.1069 1.3904
3.6655 3.6507 -0.0063
2.5083 2.4971 1.6926
2.5105 2.5007 5.0274
0.0000 0.0000 0.0000
0.0021 0.0037 3.3643
```

## Properties
Its symmetry is Cmmm. For the final energy, the calculation gives -0.610 Ry/atom. The value obtained for the formation energy from raw total energies is -2.80 eV per atom.

=====

(6)
LiScSi2Ge: relaxed, PBE-GGA.

Structure (POSCAR):
```
LiScSi2Ge
1.0
-4.1565 0.7128 2.3650
-2.4785 -2.3019 -3.6622
0.5684 -4.2291 2.2736
Li Ge Si Sc
1 1 2 1
Cartesian
-3.0333 -2.9091 0.4882
0.0000 0.0000 0.0000
0.2842 -2.1145 1.1368
-2.0782 0.3564 1.1825
-1.2392 -1.1509 -1.8311
```

## Properties
Its symmetry is P4/mmm. For the final energy, the calculation gives -0.310 Ry/atom. The value obtained for the formation energy from raw total energies is 0.52 eV per atom.

=====

(7)
SrEuGaPd: relaxed, PBE-GGA.

Structure (POSCAR):
```
SrEuGaPd
1.0
5.3030 0.0000 0.0000
2.6515 4.5925 0.0000
2.6515 1.5308 4.3299
Eu Sr Ga Pd
1 1 1 1
Cartesian
5.3030 3.0617 2.1649
0.0000 0.0000 0.0000
2.6515 1.5308 1.0825
7.9545 4.5925 3.2474
```

## Properties
Its symmetry is F-43m. The calculated formation energy comes out at -41.79 kJ per mole of atoms. For the final energy, the calculation gives -0.403 Ry/atom.

=====

(8)
V3Ir2Os3: relaxed, PBE-GGA.

Structure (POSCAR):
```
V3Ir2Os3
1.0
-0.6780 -3.0935 -1.9786
0.9518 -2.1532 3.0403
-7.4762 0.0974 2.4095
V Os Ir
3 3 2
Cartesian
-0.3390 -1.5467 -0.9893
-1.8229 -2.5978 1.1624
-5.3794 -2.5515 2.3087
0.4759 -1.0766 1.5201
-3.2622 -1.0279 2.7249
-4.0771 -1.4980 0.2154
-1.8705 0.0244 0.6028
-5.6057 0.0730 1.8067
```

## Properties
Its symmetry is Pmmm. The calculated formation energy comes out at -25.19 kJ per mole of atoms. For the final energy, the calculation gives -0.743 Ry/atom.

=====

(9)
Na5B7C3: relaxed, PBE-GGA.

Structure (POSCAR):
```
Na5B7C3
1.0
-1.5305 -1.3027 12.7829
0.4549 -1.3112 -12.8653
7.8962 -3.2687 0.6123
C Na B
6 10 14
Cartesian
5.0529 -3.7571 4.6987
0.5772 -2.1205 11.2091
4.6504 -3.7554 9.8991
1.7572 -2.1255 -4.0346
1.3824 -2.1239 0.8065
5.4551 -3.7588 -0.4963
3.2353 -2.9494 2.8072
2.4233 -2.9388 13.0672
6.7139 -4.5539 8.2921
2.8588 -2.9580 7.9932
7.9419 -4.5732 -7.1255
6.3633 -4.5698 13.3728
7.5520 -4.5749 -1.9827
3.6119 -2.9438 -2.2882
7.1400 -4.5659 3.1100
4.0181 -2.9489 -7.4298
0.9703 -2.1221 6.1306
5.7044 -3.7599 -3.7169
0.7010 -2.1210 9.6093
4.9282 -3.7565 6.3101
2.1778 -2.1273 -9.4684
1.5075 -2.1244 -0.8096
5.3312 -3.7583 1.1044
6.2451 -3.7622 -10.7025
1.0992 -2.1227 4.4650
5.8428 -3.7604 -5.5052
4.5242 -3.7548 11.5295
2.3132 -2.1279 -11.2169
1.8767 -2.1260 -5.5784
6.1073 -3.7616 -8.9222
```

## Properties
The energy above the most stable polymorph in this dataset comes out at 0.010 eV/atom. Its symmetry is Amm2. The calculated formation energy comes out at 11.82 kJ per mole of atoms. For the final energy, the calculation gives -0.388 Ry/atom.

=====

(10)
Na2CaLaRu: relaxed, PBE-GGA.

Structure (POSCAR):
```
Na2CaLaRu
1.0
5.5758 0.0000 0.0000
0.0000 5.8561 0.0000
0.0000 0.0000 5.5758
La Ru Ca Na
1 1 1 2
Cartesian
0.0000 0.0000 0.0000
2.7879 2.9281 2.7879
0.0000 2.9281 0.0000
0.0000 0.0000 2.7879
2.7879 0.0000 0.0000
```

## Properties
Its symmetry is P4/mmm. The calculated formation energy comes out at 189.81 kJ per mole of atoms. For the final energy, the calculation gives -0.132 Ry/atom.

=====

(11)
BeAsCCl: relaxed, PBE-GGA.

Structure (POSCAR):
```
BeAsCCl
1.0
7.8560 0.0000 0.0006
0.0000 3.1797 0.0000
-1.3186 0.0000 5.3463
Cl As C Be
2 2 2 2
Cartesian
0.4014 0.0000 2.9512
1.0607 1.5899 0.2780
3.9719 0.0000 3.8320
4.6312 1.5899 1.1589
2.8624 1.5899 4.5036
3.5217 0.0000 1.8305
1.2228 1.5899 4.0990
1.8821 0.0000 1.4258
```

## Properties
The energy above the most stable polymorph in this dataset comes out at 0.004 eV/atom. Its symmetry is Cm. For the final energy, the calculation gives -0.365 Ry/atom. The value obtained for the formation energy from raw total energies is -0.11 eV per atom.

=====

(12)
KGaSi2Tc: relaxed, PBE-GGA.

Structure (POSCAR):
```
KGaSi2Tc
1.0
-3.1227 3.4801 -0.6823
-0.8851 -1.6451 -4.3402
-3.5649 -2.8448 1.8053
K Si Tc Ga
1 2 1 1
Cartesian
-3.7863 -0.5049 -1.6086
-0.4425 -0.8226 -2.1701
-1.5613 1.7400 -0.3411
0.0000 0.0000 0.0000
-1.7824 -1.4224 0.9026
```

## Properties
Its symmetry is P4/mmm. For the final energy, the calculation gives -0.371 Ry/atom. The value obtained for the formation energy from raw total energies is 0.02 eV per atom.

=====

(13)
Sc2SiNi: relaxed, PBE-GGA.

Structure (POSCAR):
```
Sc2SiNi
1.0
-0.2559 3.8381 -2.3323
-4.0029 1.9050 -0.7642
-1.1031 3.8300 2.0857
Si Sc Ni
1 2 1
Cartesian
-4.0214 7.1799 -0.7581
-1.3405 2.3933 -0.2527
0.0000 0.0000 0.0000
-2.6809 4.7866 -0.5054
```

## Properties
Its symmetry is F-43m. For the final energy, the calculation gives -0.453 Ry/atom. The value obtained for the formation energy from raw total energies is -0.20 eV per atom.

=====

(14)
MnMoW: relaxed, PBE-GGA.

Structure (POSCAR):
```
MnMoW
1.0
-1.3678 3.2129 -3.4173
-1.7168 -1.5649 -4.2768
-8.5846 1.6136 1.4603
Mn Mo W
4 4 4
Cartesian
-3.2287 3.2146 -2.6709
-4.3156 2.4323 -4.7177
-6.7237 1.6119 0.7139
-8.0375 2.4357 -3.2248
-1.7281 2.1065 -4.3133
-5.8162 3.5404 -3.0753
-1.3565 -0.4586 -3.3809
-6.5369 1.3277 -4.8672
-4.2228 0.8264 -2.7719
-7.9987 3.2189 -0.7577
-6.7625 0.8287 -1.7533
-1.9537 1.6076 -1.1993
```

## Properties
The energy above the most stable polymorph in this dataset comes out at 0.065 eV/atom. Its symmetry is Fddd. The calculated formation energy comes out at 14.94 kJ per mole of atoms. For the final energy, the calculation gives -0.796 Ry/atom.

=====

(15)
Li3Th2ScTe6: relaxed, PBE-GGA.

Structure (POSCAR):
```
Li3Th2ScTe6
1.0
7.4068 -0.0022 -0.0012
-3.7035 6.4144 -0.0012
-1.2359 -2.1400 7.1804
Te Li Sc Th
6 3 1 2
Cartesian
2.5330 4.3859 1.8738
2.3470 -0.0029 1.8827
-0.0656 -0.1136 5.3042
0.1204 4.2752 5.2954
3.6429 2.2408 5.2954
-1.1755 2.0314 1.8827
4.8695 0.0363 3.5890
-2.4021 4.2359 3.5890
1.2337 2.1361 3.5890
0.0000 0.0000 0.0000
0.0051 4.2726 -0.0012
3.6982 2.1397 -0.0012
```

## Properties
Its symmetry is C2/m. For the final energy, the calculation gives -0.362 Ry/atom. The value obtained for the formation energy from raw total energies is -1.11 eV per atom.

=====

(16)
RbV3As: relaxed, PBE-GGA.

Structure (POSCAR):
```
RbV3As
1.0
5.0585 0.0000 0.0000
0.0000 5.0585 0.0000
0.0000 0.0000 5.0585
V As Rb
3 1 1
Cartesian
2.5292 0.0000 0.0000
0.0000 0.0000 2.5292
0.0000 2.5292 0.0000
0.0000 0.0000 0.0000
2.5292 2.5292 2.5292
```

## Properties
The energy above the most stable polymorph in this dataset comes out at 0.000 eV/atom. Its symmetry is Pm-3m. The calculated formation energy comes out at 95.37 kJ per mole of atoms. For the final energy, the calculation gives -0.412 Ry/atom.

=====

(17)
CaTm2S4: relaxed, PBE-GGA.

Structure (POSCAR):
```
CaTm2S4
1.0
-2.8350 -2.5737 -0.5019
2.5217 -0.3170 -12.6195
8.4828 -9.7222 1.9393
Ca S Tm
4 16 8
Cartesian
3.0032 -6.1861 -7.5270
9.2636 -9.8360 -9.3163
-1.0940 -2.7769 -1.8657
5.1664 -6.4267 -3.6550
6.3085 -9.5835 -8.7754
1.8611 -3.0294 -2.4066
3.5527 -5.9531 -11.8265
4.4570 -8.1100 -5.8728
0.0477 -3.2226 -6.0298
3.7126 -4.5028 -5.3092
2.7397 -2.1012 -12.1297
5.6662 -5.9995 -8.6697
4.6168 -6.6598 0.6445
-0.0327 -2.4202 -9.6901
8.1218 -9.3903 -5.1522
5.4299 -10.5117 0.9476
3.3201 -3.4149 -8.6711
4.8495 -9.1980 -2.5110
8.2023 -10.1927 -1.4919
2.5034 -6.6134 -2.5123
6.8801 -7.6756 -6.9309
1.2895 -4.9372 -4.2512
3.0980 -4.7313 -0.6659
1.5259 -1.6429 -7.6233
5.0715 -7.8816 -10.5162
1.7397 -4.1666 -10.7462
6.6437 -10.9700 -3.5587
6.4299 -8.4463 -0.4358
```

## Properties
The energy above the most stable polymorph in this dataset comes out at 0.000 eV/atom. Its symmetry is Pnma. For the final energy, the calculation gives -0.443 Ry/atom. The value obtained for the formation energy from raw total energies is -2.11 eV per atom.

=====

(18)
LaDy2HoSb4: relaxed, PBE-GGA.

Structure (POSCAR):
```
LaDy2HoSb4
1.0
6.2796 0.3418 0.0000
-0.3423 6.2796 0.0000
-2.9687 -3.3107 6.2801
Dy Sb La Ho
2 4 1 1
Cartesian
-0.5451 2.7227 3.1401
2.7658 -0.2461 3.1401
5.7349 3.0671 0.0000
2.5946 2.8935 3.0735
-0.3740 -0.4171 3.2066
2.4261 6.0341 0.0000
5.5661 6.2074 0.0000
2.5962 2.8954 0.0000
```

## Properties
Its symmetry is I4/mmm. For the final energy, the calculation gives -0.408 Ry/atom. The value obtained for the formation energy from raw total energies is -1.15 eV per atom.

=====

(19)
BeGa2Ag: relaxed, PBE-GGA.

Structure (POSCAR):
```
BeGa2Ag
1.0
4.0564 0.0000 0.0000
2.0282 3.5130 0.0000
2.0282 1.1710 4.5775
Ga Be Ag
2 1 1
Cartesian
2.0282 1.1710 0.8186
2.0282 1.1710 3.8268
6.0846 3.5130 4.4455
4.0564 2.3420 2.3529
```

## Properties
Its symmetry is R3m. The calculated formation energy comes out at 17.30 kJ per mole of atoms. For the final energy, the calculation gives -0.219 Ry/atom.

=====

(20)
NaZrIn2: relaxed, PBE-GGA.

Structure (POSCAR):
```
NaZrIn2
1.0
-0.4236 0.5474 3.1932
1.3387 -2.0165 2.1949
9.1082 5.5067 1.9360
In Na Zr
2 1 1
Cartesian
2.4236 0.9534 1.8297
7.5996 3.0842 5.4943
5.0116 2.0188 3.6620
0.0000 0.0000 0.0000
```

## Properties
The energy above the most stable polymorph in this dataset comes out at 0.097 eV/atom. Its symmetry is R-3m. The calculated formation energy comes out at -6.10 kJ per mole of atoms. For the final energy, the calculation gives -0.287 Ry/atom.

=====

(21)
Hf2GaPb: relaxed, PBE-GGA.

Structure (POSCAR):
```
Hf2GaPb
1.0
3.1408 2.8507 2.5372
-1.4556 4.4300 1.6386
-0.6912 0.7407 4.8376
Ga Hf Pb
1 2 1
Cartesian
0.0000 0.0000 0.0000
0.7455 6.0160 6.7600
0.2485 2.0053 2.2533
0.4970 4.0107 4.5066
```

## Properties
The energy above the most stable polymorph in this dataset comes out at 0.175 eV/atom. Its symmetry is Fm-3m. The calculated formation energy comes out at 6.95 kJ per mole of atoms. For the final energy, the calculation gives -0.484 Ry/atom.

=====

(22)
LaHo2Te4: relaxed, PBE-GGA.

Structure (POSCAR):
```
LaHo2Te4
1.0
4.3504 0.0000 0.0000
-2.1752 7.1529 0.0000
0.0000 0.0000 14.9551
La Te Ho
2 8 4
Cartesian
2.1752 1.7449 11.2163
0.0000 5.4080 3.7388
0.0000 0.6497 3.7388
0.0000 3.2441 13.1596
2.1752 3.9088 5.6821
2.1752 3.9088 1.7955
2.1752 0.0000 0.0000
2.1752 6.5032 11.2163
0.0000 3.2441 9.2730
2.1752 0.0000 7.4775
2.1752 5.2711 13.9758
0.0000 1.8818 0.9792
0.0000 1.8818 6.4983
2.1752 5.2711 8.4568
```

## Properties
Its symmetry is Cmcm. For the final energy, the calculation gives -0.386 Ry/atom. The value obtained for the formation energy from raw total energies is -1.44 eV per atom.

=====

(23)
Tb5GeSb4: relaxed, PBE-GGA.

Structure (POSCAR):
```
Tb5GeSb4
1.0
-0.9474 -4.2473 -0.2706
3.9617 -0.7789 -1.6458
3.9848 0.3816 15.1874
Ge Sb Tb
1 4 5
Cartesian
0.0000 0.0000 0.0000
4.3924 -1.7048 11.3803
4.8227 -3.7999 7.6321
2.1765 -0.8447 5.6390
2.6067 -2.9399 1.8908
1.0521 -0.4083 2.7260
5.9470 -4.2363 10.5451
1.5071 -2.5131 -0.9582
3.2909 -1.2772 8.5264
3.7082 -3.3674 4.7447
```

## Properties
The energy above the most stable polymorph in this dataset comes out at 0.004 eV/atom. Its symmetry is I4/mmm. For the final energy, the calculation gives -0.402 Ry/atom. The value obtained for the formation energy from raw total energies is -1.04 eV per atom.